Pr2ErV | Alexandria | PBE | relaxed; formation energy from the elements = 0.402 eV per atom; total moment = 5.97 μB per cell
1.0
3.5562 0.0000 0.0000
-1.7781 3.0798 0.0000
0.0000 0.0000 31.9856
Pr Er V
6 3 3
direct
0.0000 0.0000 0.2385
0.0000 0.0000 0.7615
0.3333 0.6667 0.4282
0.3333 0.6667 0.9051
0.6667 0.3333 0.0949
0.6667 0.3333 0.5718
0.0000 0.0000 0.0000
0.3333 0.6667 0.6667
0.6667 0.3333 0.3333
0.0000 0.0000 0.5000
0.3333 0.6667 0.1667
0.6667 0.3333 0.8333